Material: Zr2Mn2Al
Method: DFT, PBE-GGA
State: optimized geometry

Unit cell a=6.500 b=6.500 c=4.011 alpha=90.00 beta=90.00 gamma=90.00
Fractional positions:
Zr 0.185 0.315 0.000
Zr 0.315 0.815 0.000
Zr 0.685 0.185 0.000
Zr 0.815 0.685 0.000
Mn 0.112 0.612 0.500
Mn 0.388 0.112 0.500
Mn 0.612 0.888 0.500
Mn 0.888 0.388 0.500
Al 0.000 0.000 0.500
Al 0.500 0.500 0.500

**Energy of formation**: -170 meV/atom
**Electronic total energy**: -8.005 eV per atom
**Calculated density**: 6.257 g cm⁻³
**Space-group type**: P4/mbm